First-principles (PBE) data for a relaxed MoCl3 crystal, as listed in the Alexandria database.

Lattice parameters (Å, degrees): 8.5699 8.5699 4.2338 90.00 90.00 100.99
Positions (direct):
1 Mo 0.4493 0.5507 0.2500
2 Mo 0.5507 0.4493 0.7500
3 Cl 0.1848 0.4679 0.2500
4 Cl 0.0240 0.9760 0.2500
5 Cl 0.8152 0.5321 0.7500
6 Cl 0.4679 0.1848 0.7500
7 Cl 0.9760 0.0240 0.7500
8 Cl 0.5321 0.8152 0.2500

energy above the lowest structure with this stoichiometry	0.643	eV/atom
E_form (uncorrected)	-0.21	eV per atom
total moment	0.000	μB per formula unit